Material: PmSmCd6
Method: DFT, PBE
State: relaxed

Results
DFT formation energy in eV per atom: -0.30

Cell: 4.9605 6.6617 6.6617 Å, 116.02 90.00 90.00°
Last column: nearest neighbours and their distance in Å.
Element x y z (fractional)
Cd 0.5000 0.4412 0.1204  7 Cd 3.06-3.37, 2 Pm 3.24, 2 Sm 3.31-3.37
Cd 0.5000 0.8796 0.5588  7 Cd 3.06-3.37, 2 Pm 3.24, 2 Sm 3.31-3.37
Cd 0.0000 0.6199 0.9402  7 Cd 3.06-3.35, 2 Sm 3.23, 2 Pm 3.31-3.37
Cd 0.5000 0.9195 0.0805  8 Cd 3.06-3.37, 2 Pm 3.24
Cd 0.0000 0.5797 0.4203  8 Cd 3.06-3.35, 2 Sm 3.24
Cd 0.0000 0.0598 0.3801  7 Cd 3.06-3.35, 2 Sm 3.23, 2 Pm 3.31-3.37
Pm 0.0000 0.1045 0.8955  12 Cd 3.24-3.54
Sm 0.5000 0.3956 0.6044  12 Cd 3.23-3.54



Material: LaCuNi2Sb
Method: DFT, PBE
State: relaxed

Results
Raw formation energy in kJ/mol of atoms: 121
Excess energy over the best structure of this formula in the dataset in meV/atom: 221.5

Cell: 4.6596 6.1625 4.6596 Å, 90.00 90.00 90.00°
Last column: nearest neighbours and their distance in Å.
Element x y z (fractional)
Ni 0.0000 0.0000 0.5000  2 La 2.33
Ni 0.5000 0.0000 0.0000  2 La 2.33
Cu 0.5000 0.5000 0.5000  4 Sb 3.29
La 0.0000 0.0000 0.0000  4 Ni 2.33
Sb 0.0000 0.5000 0.0000  2 La 3.08, 4 Cu 3.29



Material: LiTaCu2
Method: DFT, PBE
State: relaxed

Results
DFT formation energy in eV per atom: 0.19

Cell: 5.5907 5.5907 5.5907 Å, 152.74 132.07 56.02°
Last column: nearest neighbours and their distance in Å.
Element x y z (fractional)
Cu 0.7763 0.2763 0.5000  4 Cu 2.45-2.63, 4 Ta 2.68
Cu 0.9857 0.9857 0.0000  4 Cu 2.45-2.63, 4 Li 2.64, 2 Ta 2.68
Ta 0.2217 0.7217 0.5000  2 Ta 2.63, 6 Cu 2.68
Li 0.5163 0.5163 0.0000  2 Li 2.63, 6 Cu 2.64-2.88